# 1
# Re2Ag5Cl12

A relaxed Re2Ag5Cl12 crystal (GGA-PBE, the Alexandria database).

extended XYZ file:
```
19
Lattice="8.987 -3.322 0.000 8.987 3.322 0.000 -5.141 0.000 8.513" Properties=species:S:1:pos:R:3 pbc="T T T"
Re 8.987 1.990 0.000
Re 8.987 -1.990 0.000
Ag -1.720 0.000 6.698
Ag 3.388 0.000 1.947
Ag 6.416 0.000 4.256
Ag 9.444 0.000 6.566
Ag 14.552 0.000 1.815
Cl -0.035 0.000 1.955
Cl 1.500 1.729 8.460
Cl 4.570 1.673 3.472
Cl 11.333 1.729 0.053
Cl 8.262 1.673 5.041
Cl 3.878 0.000 6.953
Cl 8.954 0.000 1.560
Cl 4.570 -1.673 3.472
Cl 1.500 -1.729 8.460
Cl 8.262 -1.673 5.041
Cl 11.333 -1.729 0.053
Cl 12.867 0.000 6.558
```

Size of the total moment = 0.79 μB per cell
Space-group type = No. 12
ΔE_f (raw) = -9.59 kcal/mol of atoms

# 2
# Re2AgCl

A relaxed Re2AgCl crystal (GGA-PBE, the Alexandria database).

extended XYZ file:
```
8
Lattice="5.221 0.000 0.000 0.000 10.566 0.000 -1.651 0.000 2.505" Properties=species:S:1:pos:R:3 pbc="T T T"
Re 1.305 2.642 0.000
Re 1.305 7.925 0.000
Re 3.916 2.642 0.000
Re 3.916 7.925 0.000
Ag 0.000 0.000 0.000
Ag 2.610 5.283 0.000
Cl 0.000 5.283 0.000
Cl 2.610 0.000 0.000
```

Size of the total moment = 0.00 μB per cell
Space-group type = No. 12
E above lowest polymorph = 83.4 kJ/mol of atoms
ΔE_f (raw) = 25.60 kcal/mol of atoms

# 3
# Re2AgCl

A relaxed Re2AgCl crystal (GGA-PBE, the Alexandria database).

extended XYZ file:
```
4
Lattice="3.160 0.000 0.000 0.000 5.046 0.000 -0.575 0.000 4.576" Properties=species:S:1:pos:R:3 pbc="T T T"
Re 0.445 0.000 1.366
Re 2.140 0.000 3.210
Ag 1.292 2.523 2.288
Cl 0.000 2.523 0.000
```

Size of the total moment = 0.00 μB per cell
Space-group type = No. 10
E above lowest polymorph = 76.2 kJ/mol of atoms
ΔE_f (raw) = 23.89 kcal/mol of atoms

# 4
# Re2AgCl

A relaxed Re2AgCl crystal (GGA-PBE, the Alexandria database).

extended XYZ file:
```
8
Lattice="4.486 0.000 0.000 0.000 4.486 0.000 0.000 0.000 6.461" Properties=species:S:1:pos:R:3 pbc="T T T"
Re 0.000 0.000 0.000
Re 0.000 2.243 1.615
Re 2.243 0.000 4.845
Re 2.243 2.243 3.230
Ag 0.000 2.243 4.845
Ag 2.243 0.000 1.615
Cl 0.000 0.000 3.230
Cl 2.243 2.243 0.000
```

Size of the total moment = 0.00 μB per cell
Space-group type = No. 119
E above lowest polymorph = 91.4 kJ/mol of atoms
ΔE_f (raw) = 27.52 kcal/mol of atoms

# 5
# Re2AgCl

A relaxed Re2AgCl crystal (GGA-PBE, the Alexandria database).

extended XYZ file:
```
4
Lattice="3.547 0.000 0.000 0.000 3.547 0.000 0.000 0.000 7.038" Properties=species:S:1:pos:R:3 pbc="T T T"
Re 0.000 1.774 0.000
Re 1.774 0.000 0.000
Ag 0.000 0.000 3.519
Cl 1.774 1.774 3.519
```

Size of the total moment = 0.00 μB per cell
Space-group type = No. 123
E above lowest polymorph = 100.2 kJ/mol of atoms
ΔE_f (raw) = 29.62 kcal/mol of atoms

# 6
# ReAg2Cl6

A relaxed ReAg2Cl6 crystal (GGA-PBE, the Alexandria database).

extended XYZ file:
```
9
Lattice="3.391 1.958 6.070 -3.391 1.958 6.070 0.000 -3.916 6.070" Properties=species:S:1:pos:R:3 pbc="T T T"
Re 0.000 0.000 0.000
Ag 0.000 0.000 5.656
Ag 0.000 0.000 12.555
Cl -2.329 0.325 7.437
Cl -1.446 -1.854 10.774
Cl 0.883 -2.180 7.437
Cl -0.883 2.180 10.774
Cl 1.446 1.854 7.437
Cl 2.329 -0.325 10.774
```

Size of the total moment = 3.00 μB per cell
Space-group type = No. 148
E above lowest polymorph = 0.0 kJ/mol of atoms
ΔE_f (raw) = -12.35 kcal/mol of atoms

# 7
# Re2AgCl

A relaxed Re2AgCl crystal (GGA-PBE, the Alexandria database).

extended XYZ file:
```
4
Lattice="2.777 0.000 0.000 0.000 4.777 0.000 0.000 0.000 5.008" Properties=species:S:1:pos:R:3 pbc="T T T"
Re 0.000 0.000 0.000
Re 1.389 2.388 0.000
Ag 0.000 2.388 2.504
Cl 1.389 0.000 2.504
```

Size of the total moment = 0.00 μB per cell
Space-group type = No. 47
E above lowest polymorph = 83.1 kJ/mol of atoms
ΔE_f (raw) = 25.53 kcal/mol of atoms

# 8
# ReAg3Cl8

A relaxed ReAg3Cl8 crystal (GGA-PBE, the Alexandria database).

extended XYZ file:
```
12
Lattice="3.563 -5.788 0.000 3.563 5.788 0.000 0.000 0.000 8.068" Properties=species:S:1:pos:R:3 pbc="T T T"
Re 0.000 0.000 0.000
Ag 0.000 0.000 4.034
Ag 1.781 2.894 2.151
Ag 1.781 -2.894 5.917
Cl 3.563 3.420 0.000
Cl 3.563 3.347 4.034
Cl 1.658 0.051 1.657
Cl 1.658 -0.051 6.411
Cl 5.468 0.051 6.411
Cl 5.468 -0.051 1.657
Cl 3.563 -3.347 4.034
Cl 3.563 -3.420 0.000
```

Size of the total moment = 2.01 μB per cell
Space-group type = No. 21
ΔE_f (raw) = -11.72 kcal/mol of atoms

# 9
# Re4AgCl

A relaxed Re4AgCl crystal (GGA-PBE, the Alexandria database).

extended XYZ file:
```
6
Lattice="0.000 3.732 3.732 3.732 0.000 3.732 3.732 3.732 0.000" Properties=species:S:1:pos:R:3 pbc="T T T"
Re 2.804 2.804 2.804
Re 4.659 4.659 2.804
Re 4.659 2.804 4.659
Re 2.804 4.659 4.659
Ag 0.000 0.000 0.000
Cl 5.597 5.597 5.597
```

Size of the total moment = 0.00 μB per cell
Space-group type = No. 216
ΔE_f (raw) = 28.35 kcal/mol of atoms

# 10
# ReAg2Cl8

A relaxed ReAg2Cl8 crystal (GGA-PBE, the Alexandria database).

extended XYZ file:
```
11
Lattice="7.783 -3.198 0.000 7.783 3.198 0.000 -1.190 0.000 6.405" Properties=species:S:1:pos:R:3 pbc="T T T"
Re 0.000 0.000 0.000
Ag 2.169 0.000 3.608
Ag 12.206 0.000 2.797
Cl 1.064 0.000 5.799
Cl 6.129 1.607 4.810
Cl 4.137 0.000 2.255
Cl 8.246 1.607 1.595
Cl 6.129 -1.607 4.810
Cl 10.238 0.000 4.150
Cl 8.246 -1.607 1.595
Cl 13.311 0.000 0.606
```

Size of the total moment = 0.97 μB per cell
Space-group type = No. 12
ΔE_f (raw) = -9.69 kcal/mol of atoms

# 11
# Re2AgCl

A relaxed Re2AgCl crystal (GGA-PBE, the Alexandria database).

extended XYZ file:
```
8
Lattice="6.396 0.000 0.000 0.000 2.934 0.000 -2.758 0.000 8.376" Properties=species:S:1:pos:R:3 pbc="T T T"
Re 0.000 0.000 0.000
Re -1.074 0.000 6.845
Re 3.198 1.467 0.000
Re 2.124 1.467 6.845
Ag 1.160 1.467 2.184
Ag 4.358 0.000 2.184
Cl -1.334 1.467 4.848
Cl 1.863 0.000 4.848
```

Size of the total moment = 0.00 μB per cell
Space-group type = No. 8
E above lowest polymorph = 13.7 kJ/mol of atoms
ΔE_f (raw) = 8.93 kcal/mol of atoms

# 12
# Re2AgCl

A relaxed Re2AgCl crystal (GGA-PBE, the Alexandria database).

extended XYZ file:
```
4
Lattice="2.711 0.000 0.000 0.000 2.711 0.000 0.000 0.000 8.735" Properties=species:S:1:pos:R:3 pbc="T T T"
Re 0.000 0.000 2.150
Re 0.000 0.000 6.585
Ag 1.356 1.356 4.367
Cl 1.356 1.356 0.000
```

Size of the total moment = 0.00 μB per cell
Space-group type = No. 123
E above lowest polymorph = 97.2 kJ/mol of atoms
ΔE_f (raw) = 28.89 kcal/mol of atoms